A plane-wave DFT calculation with GGA-PBE was carried out for NdAlIr after structural relaxation.

Summary:
The calculation puts the formation energy at -15.89 kcal/mol of atoms. The spin magnetization comes out at 0.00 μB/f.u. Its symmetry is No. 187. The calculation puts the final energy at -19.4 eV for the cell shown.

Cell: 4.070 4.323 4.323 Å, 120.00 90.00 90.00°
Positions (direct):
Nd: 0.667 0.333 0.667
Al: 0.167 0.000 0.000
Ir: 0.166 0.667 0.333